# 1
# PBE CeAl4Pt2, optimized geometry
# Distance to the lowest polymorph of the same formula: 85 meV/atom
# Final energy: -5.583 eV/atom
# Energy relative to the elements: -871 meV/atom
data_CeAl4Pt2
_symmetry_space_group_name_H-M 'P 1'
_symmetry_Int_Tables_number 1
_symmetry_space_group_name_Hall 'P 1'
_cell_length_a 4.1714
_cell_length_b 7.7897
_cell_length_c 7.7897
_cell_angle_alpha 90.00
_cell_angle_beta 90.00
_cell_angle_gamma 90.00
loop_
_atom_site_label
_atom_site_type_symbol
_atom_site_fract_x
_atom_site_fract_y
_atom_site_fract_z
_atom_site_occupancy
Al1 Al 0.5000 0.4153 0.8363 1
Al2 Al 0.5000 0.8363 0.4153 1
Al3 Al 0.5000 0.5847 0.1637 1
Al4 Al 0.0000 0.0847 0.3363 1
Al5 Al 0.5000 0.1637 0.5847 1
Al6 Al 0.0000 0.6637 0.9153 1
Al7 Al 0.0000 0.9153 0.6637 1
Al8 Al 0.0000 0.3363 0.0847 1
Pt1 Pt 0.5000 0.2823 0.2823 1
Pt2 Pt 0.0000 0.2177 0.7823 1
Pt3 Pt 0.5000 0.7177 0.7177 1
Pt4 Pt 0.0000 0.7823 0.2177 1
Ce1 Ce 0.5000 0.0000 0.0000 1
Ce2 Ce 0.0000 0.5000 0.5000 1

=====

# 2
# PBE CeAl5Pt3, optimized geometry
# Distance to the lowest polymorph of the same formula: 113 meV/atom
# Final energy: -5.663 eV/atom
# Energy relative to the elements: -911 meV/atom
data_CeAl5Pt3
_symmetry_space_group_name_H-M 'P 1'
_symmetry_Int_Tables_number 1
_symmetry_space_group_name_Hall 'P 1'
_cell_length_a 4.0829
_cell_length_b 6.7940
_cell_length_c 12.5796
_cell_angle_alpha 90.00
_cell_angle_beta 90.00
_cell_angle_gamma 107.49
loop_
_atom_site_label
_atom_site_type_symbol
_atom_site_fract_x
_atom_site_fract_y
_atom_site_fract_z
_atom_site_occupancy
Al1 Al 0.5573 0.1147 0.8511 1
Al2 Al 0.4427 0.8853 0.1489 1
Al3 Al 0.1995 0.3990 0.5633 1
Al4 Al 0.8005 0.6010 0.0633 1
Al5 Al 0.1995 0.3990 0.9367 1
Al6 Al 0.0000 0.0000 0.5000 1
Al7 Al 0.4427 0.8853 0.3511 1
Al8 Al 0.0000 0.0000 0.0000 1
Al9 Al 0.8005 0.6010 0.4367 1
Al10 Al 0.5573 0.1147 0.6489 1
Ce1 Ce 0.1631 0.3262 0.2500 1
Ce2 Ce 0.8369 0.6738 0.7500 1
Pt1 Pt 0.6121 0.2242 0.4550 1
Pt2 Pt 0.8759 0.7518 0.2500 1
Pt3 Pt 0.3879 0.7758 0.9550 1
Pt4 Pt 0.1241 0.2482 0.7500 1
Pt5 Pt 0.6121 0.2242 0.0450 1
Pt6 Pt 0.3879 0.7758 0.5450 1

=====

# 3
# PBE Ce3Al9Pt2, optimized geometry
# Final energy: -5.201 eV/atom
# Energy relative to the elements: -661 meV/atom
data_Ce3Al9Pt2
_symmetry_space_group_name_H-M 'P 1'
_symmetry_Int_Tables_number 1
_symmetry_space_group_name_Hall 'P 1'
_cell_length_a 4.3350
_cell_length_b 8.2955
_cell_length_c 8.2955
_cell_angle_alpha 75.12
_cell_angle_beta 74.85
_cell_angle_gamma 74.85
loop_
_atom_site_label
_atom_site_type_symbol
_atom_site_fract_x
_atom_site_fract_y
_atom_site_fract_z
_atom_site_occupancy
Al1 Al 0.8756 0.8445 0.4043 1
Al2 Al 0.1244 0.5957 0.1555 1
Al3 Al 0.1244 0.1555 0.5957 1
Al4 Al 0.0000 0.5000 0.5000 1
Al5 Al 0.6630 0.7050 0.9691 1
Al6 Al 0.3370 0.2950 0.0309 1
Al7 Al 0.6630 0.9691 0.7050 1
Al8 Al 0.8756 0.4043 0.8445 1
Al9 Al 0.3370 0.0309 0.2950 1
Ce1 Ce 0.3144 0.6856 0.6856 1
Ce2 Ce 0.0000 0.0000 0.0000 1
Ce3 Ce 0.6856 0.3144 0.3144 1
Pt1 Pt 0.5000 0.2866 0.7134 1
Pt2 Pt 0.5000 0.7134 0.2866 1

=====

# 4
# PBE CeAl5Pt3, optimized geometry
# Distance to the lowest polymorph of the same formula: 0 meV/atom
# Final energy: -5.776 eV/atom
# Energy relative to the elements: -1024 meV/atom
data_CeAl5Pt3
_symmetry_space_group_name_H-M 'P 1'
_symmetry_Int_Tables_number 1
_symmetry_space_group_name_Hall 'P 1'
_cell_length_a 4.1381
_cell_length_b 7.3311
_cell_length_c 20.7923
_cell_angle_alpha 90.00
_cell_angle_beta 90.00
_cell_angle_gamma 90.00
loop_
_atom_site_label
_atom_site_type_symbol
_atom_site_fract_x
_atom_site_fract_y
_atom_site_fract_z
_atom_site_occupancy
Ce1 Ce 0.7500 0.6201 0.8594 1
Ce2 Ce 0.2500 0.3799 0.1406 1
Ce3 Ce 0.2500 0.1201 0.6406 1
Ce4 Ce 0.7500 0.8799 0.3594 1
Pt1 Pt 0.7500 0.4182 0.5843 1
Pt2 Pt 0.2500 0.1590 0.4262 1
Pt3 Pt 0.7500 0.3779 0.2608 1
Pt4 Pt 0.7500 0.6590 0.0738 1
Pt5 Pt 0.2500 0.3410 0.9262 1
Pt6 Pt 0.2500 0.9182 0.9157 1
Pt7 Pt 0.7500 0.8410 0.5738 1
Pt8 Pt 0.2500 0.5818 0.4157 1
Pt9 Pt 0.2500 0.6221 0.7392 1
Pt10 Pt 0.7500 0.1221 0.7608 1
Pt11 Pt 0.2500 0.8779 0.2392 1
Pt12 Pt 0.7500 0.0818 0.0843 1
Al1 Al 0.7500 0.4306 0.7075 1
Al2 Al 0.7500 0.6838 0.2010 1
Al3 Al 0.7500 0.3685 0.0069 1
Al4 Al 0.2500 0.6422 0.6180 1
Al5 Al 0.2500 0.3162 0.7990 1
Al6 Al 0.2500 0.1149 0.0161 1
Al7 Al 0.2500 0.9306 0.7925 1
Al8 Al 0.2500 0.6315 0.9931 1
Al9 Al 0.7500 0.8162 0.7010 1
Al10 Al 0.2500 0.8685 0.4931 1
Al11 Al 0.7500 0.8851 0.9839 1
Al12 Al 0.2500 0.3851 0.5161 1
Al13 Al 0.2500 0.5694 0.2925 1
Al14 Al 0.7500 0.1315 0.5069 1
Al15 Al 0.7500 0.1422 0.8820 1
Al16 Al 0.7500 0.6149 0.4839 1
Al17 Al 0.2500 0.8578 0.1180 1
Al18 Al 0.2500 0.1838 0.2990 1
Al19 Al 0.7500 0.0694 0.2075 1
Al20 Al 0.7500 0.3578 0.3820 1

=====

What did the first record say?
# PBE CeAl4Pt2, optimized geometry
# Distance to the lowest polymorph of the same formula: 85 meV/atom
# Final energy: -5.583 eV/atom
# Energy relative to the elements: -871 meV/atom
data_CeAl4Pt2
_symmetry_space_group_name_H-M 'P 1'
_symmetry_Int_Tables_number 1
_symmetry_space_group_name_Hall 'P 1'
_cell_length_a 4.1714
_cell_length_b 7.7897
_cell_length_c 7.7897
_cell_angle_alpha 90.00
_cell_angle_beta 90.00
_cell_angle_gamma 90.00
loop_
_atom_site_label
_atom_site_type_symbol
_atom_site_fract_x
_atom_site_fract_y
_atom_site_fract_z
_atom_site_occupancy
Al1 Al 0.5000 0.4153 0.8363 1
Al2 Al 0.5000 0.8363 0.4153 1
Al3 Al 0.5000 0.5847 0.1637 1
Al4 Al 0.0000 0.0847 0.3363 1
Al5 Al 0.5000 0.1637 0.5847 1
Al6 Al 0.0000 0.6637 0.9153 1
Al7 Al 0.0000 0.9153 0.6637 1
Al8 Al 0.0000 0.3363 0.0847 1
Pt1 Pt 0.5000 0.2823 0.2823 1
Pt2 Pt 0.0000 0.2177 0.7823 1
Pt3 Pt 0.5000 0.7177 0.7177 1
Pt4 Pt 0.0000 0.7823 0.2177 1
Ce1 Ce 0.5000 0.0000 0.0000 1
Ce2 Ce 0.0000 0.5000 0.5000 1

=====

Question: Which of these has the highest final energy?
Answer: Ce3Al9Pt2